{"formula": "LiPrMnGe2", "functional": "PBE-GGA", "state": "optimized geometry", "total_magnetization_mub_per_fu": 3.422, "rho_g_cm3": 6.1, "e_form_ev_per_atom": -0.509, "dft_energy_ev_per_atom": -5.528, "lattice_angstrom": [[-0.594, -3.490, 2.248], [-1.136, -2.047, -3.479], [6.031, 1.343, -0.233]], "species": ["Li", "Pr", "Mn", "Ge", "Ge"], "frac_coords": [[0.250, 0.750, 0.500], [0.000, 0.000, 0.000], [0.750, 0.250, 0.500], [0.619, 0.619, 0.238], [0.381, 0.381, 0.762]]}